PuNi2HO6: optimized geometry, PBE with a Hubbard U.

extended XYZ file:
```
10
Lattice="5.1742 0.0000 0.0000 2.5519 4.5900 0.0000 2.5059 1.3520 4.8979" Properties=species:S:1:pos:R:3 pbc="T T T"
Pu 0.0000 0.0000 0.0000
Ni 2.5967 1.5149 0.1834
Ni 7.6267 4.3930 2.9168
H 4.2656 2.9537 1.5935
O 4.2223 4.4448 3.9087
O 3.2941 3.0167 1.4656
O 4.2030 1.3611 3.8836
O 6.2100 4.6047 1.2356
O 6.7607 2.9158 3.9149
O 6.0281 1.2377 1.2310
```

Results
- V (Å³/f.u.) = 116
- uncorrected energy (eV per cell) = -67.8
- calculated density (g cm⁻³) = 6.54
- SG = No. 1
- total magnetic moment (μB per formula unit) = 5.0